Entry 1:
DFT (PBEsol) results for crystalline ReSe3I at its relaxed geometry.

a = 5.2789 Å, b = 5.2789 Å, c = 5.2789 Å
α = 90.00°, β = 90.00°, γ = 90.00°
Space group Pm-3m (No. 221)
Unique sites:
Re: 0.0000 0.0000 0.0000 x1
Se: 0.0000 0.5000 0.5000 x3
I: 0.5000 0.5000 0.5000 x1

Properties
Spin magnetization   0.974 μB per atom
Raw formation energy   1.93 eV/atom

Entry 2:
DFT (PBEsol) results for crystalline ReSe2I at its relaxed geometry.

a = 3.1908 Å, b = 3.1908 Å, c = 34.2999 Å
α = 90.00°, β = 90.00°, γ = 120.00°
Space group R-3m (No. 166, hexagonal axes)
Unique sites:
Re: 0.0000 0.0000 0.0000 x3
Se: 0.0000 0.0000 0.3843 x6
I: 0.0000 0.0000 0.5000 x3

Properties
Spin magnetization   0.000 μB per atom
Raw formation energy   0.04 eV/atom

Entry 3:
DFT (PBEsol) results for crystalline ReSi2I at its relaxed geometry.

a = 6.4204 Å, b = 6.4204 Å, c = 6.4204 Å
α = 90.00°, β = 90.00°, γ = 90.00°
Space group Fm-3m (No. 225)
Unique sites:
Re: 0.0000 0.0000 0.0000 x4
Si: 0.2500 0.2500 0.2500 x8
I: 0.0000 0.0000 0.5000 x4

Properties
Spin magnetization   0.000 μB per atom
Raw formation energy   1.16 eV/atom